[1]
Computed, not measured: Nd2Dy7Ho after structural relaxation at the PBE level of DFT.

a b c (Å): 14.7883 14.7883 3.5104
angles (deg): 90.00 90.00 154.57
Positions (direct):
Nd (0.2073, 0.7927, 0.0000)
Nd (0.7927, 0.2073, 0.0000)
Dy (0.0000, 0.0000, 0.0000)
Dy (0.1567, 0.3519, 0.0000)
Dy (0.3152, 0.6848, 0.5000)
Dy (0.3519, 0.1567, 0.0000)
Dy (0.6481, 0.8433, 0.0000)
Dy (0.6848, 0.3152, 0.5000)
Dy (0.8433, 0.6481, 0.0000)
Ho (0.5000, 0.5000, 0.5000)

Results
The excess energy over the best structure of this formula in the dataset is 0.137 eV per atom. The space group is No. 65. The magnetization is 0.000 μB per atom. The total DFT energy (no corrections) comes out at -44.8 eV for the cell shown. As for the formation energy: 0.16 eV per atom.

=====

[2]
Computed, not measured: SrInPBr2 after structural relaxation at the PBE level of DFT.

a b c (Å): 5.9417 5.9417 6.0448
angles (deg): 90.00 90.00 90.00
Positions (direct):
Sr (0.0000, 0.0000, 0.0000)
In (0.5000, 0.5000, 0.5000)
P (0.0000, 0.0000, 0.5000)
Br (0.0000, 0.5000, 0.0000)
Br (0.5000, 0.0000, 0.0000)

Results
The space group is No. 123. The magnetization is 0.400 μB per atom. The total DFT energy (no corrections) comes out at -15.7 eV for the cell shown. As for the uncorrected formation energy: -49 kJ per mole of atoms.

=====

[3]
Computed, not measured: Nb2As2Pd after structural relaxation at the PBE level of DFT.

a b c (Å): 4.3389 4.3389 10.2622
angles (deg): 90.00 90.00 90.00
Positions (direct):
Nb (0.0000, 0.5000, 0.2500)
Nb (0.0000, 0.5000, 0.7500)
Nb (0.5000, 0.0000, 0.2500)
Nb (0.5000, 0.0000, 0.7500)
As (0.0000, 0.0000, 0.1152)
As (0.0000, 0.0000, 0.8848)
As (0.5000, 0.5000, 0.3848)
As (0.5000, 0.5000, 0.6152)
Pd (0.0000, 0.0000, 0.5000)
Pd (0.5000, 0.5000, 0.0000)

Results
The excess energy over the best structure of this formula in the dataset is 0.324 eV per atom. The space group is No. 139. The magnetization is 0.000 μB per atom. The total DFT energy (no corrections) comes out at -70.2 eV for the cell shown. As for the formation energy: -0.09 eV per atom.

=====

[4]
Computed, not measured: NiOs3Au after structural relaxation at the PBE level of DFT.

a b c (Å): 4.4347 4.4347 4.4347
angles (deg): 90.00 90.00 90.00
Positions (direct):
Ni (0.0000, 0.0000, 0.0000)
Os (0.0000, 0.0000, 0.5000)
Os (0.0000, 0.5000, 0.0000)
Os (0.5000, 0.0000, 0.0000)
Au (0.5000, 0.5000, 0.5000)

Results
The excess energy over the best structure of this formula in the dataset is 0.000 eV per atom. The space group is No. 221. The magnetization is 0.713 μB per atom. The total DFT energy (no corrections) comes out at -32.9 eV for the cell shown. As for the formation energy: 1.97 eV per atom.

=====

[5]
Computed, not measured: NiAs2Br after structural relaxation at the PBE level of DFT.

a b c (Å): 6.6257 6.6257 6.6257
angles (deg): 90.00 90.00 90.00
Positions (direct):
Ni (0.0000, 0.0000, 0.0000)
Ni (0.0000, 0.5000, 0.5000)
Ni (0.5000, 0.0000, 0.5000)
Ni (0.5000, 0.5000, 0.0000)
As (0.0000, 0.0000, 0.5000)
As (0.0000, 0.5000, 0.0000)
As (0.2500, 0.2500, 0.7500)
As (0.2500, 0.7500, 0.2500)
As (0.5000, 0.0000, 0.0000)
As (0.5000, 0.5000, 0.5000)
As (0.7500, 0.2500, 0.2500)
As (0.7500, 0.7500, 0.7500)
Br (0.2500, 0.2500, 0.2500)
Br (0.2500, 0.7500, 0.7500)
Br (0.7500, 0.2500, 0.7500)
Br (0.7500, 0.7500, 0.2500)

Results
The excess energy over the best structure of this formula in the dataset is 0.785 eV per atom. The space group is No. 216. The magnetization is 0.046 μB per atom. The total DFT energy (no corrections) comes out at -57.3 eV for the cell shown. As for the uncorrected formation energy: 59 kJ per mole of atoms.

=====

[6]
Computed, not measured: LiLaCl2 after structural relaxation at the PBE level of DFT.

a b c (Å): 3.5093 7.0849 8.2662
angles (deg): 90.00 90.00 90.00
Positions (direct):
Li (0.0000, 0.0000, 0.0000)
Li (0.5000, 0.5000, 0.0000)
La (0.0000, 0.0000, 0.5000)
La (0.5000, 0.5000, 0.5000)
Cl (0.0000, 0.5000, 0.2045)
Cl (0.0000, 0.5000, 0.7955)
Cl (0.5000, 0.0000, 0.2045)
Cl (0.5000, 0.0000, 0.7955)

Results
The excess energy over the best structure of this formula in the dataset is 0.134 eV per atom. The space group is No. 65. The magnetization is 0.000 μB per atom. The total DFT energy (no corrections) comes out at -33.4 eV for the cell shown. As for the uncorrected formation energy: -148 kJ per mole of atoms.

=====

[7]
Computed, not measured: TmZnGa2 after structural relaxation at the PBE level of DFT.

a b c (Å): 4.2169 4.2169 4.1746
angles (deg): 90.00 90.00 90.00
Positions (direct):
Tm (0.0000, 0.0000, 0.0000)
Zn (0.5000, 0.5000, 0.0000)
Ga (0.0000, 0.5000, 0.5000)
Ga (0.5000, 0.0000, 0.5000)

Results
The space group is No. 123. The magnetization is 0.000 μB per atom. The total DFT energy (no corrections) comes out at -13.6 eV for the cell shown. As for the formation energy: -0.45 eV per atom.

=====

[8]
Computed, not measured: NaSnW2Au after structural relaxation at the PBE level of DFT.

a b c (Å): 4.6618 4.6618 4.8340
angles (deg): 90.00 90.00 90.00
Positions (direct):
Na (0.0000, 0.0000, 0.0000)
Sn (0.0000, 0.0000, 0.5000)
W (0.0000, 0.5000, 0.0000)
W (0.5000, 0.0000, 0.0000)
Au (0.5000, 0.5000, 0.5000)

Results
The excess energy over the best structure of this formula in the dataset is 0.535 eV per atom. The space group is No. 123. The magnetization is 0.421 μB per atom. The total DFT energy (no corrections) comes out at -21.5 eV for the cell shown. As for the formation energy: 2.60 eV per atom.

=====

[9]
Computed, not measured: Ta4ZnAs after structural relaxation at the PBE level of DFT.

a b c (Å): 5.4732 5.4732 5.4732
angles (deg): 60.00 60.00 60.00
Positions (direct):
Ta (0.1236, 0.1236, 0.1236)
Ta (0.1236, 0.1236, 0.6291)
Ta (0.1236, 0.6291, 0.1236)
Ta (0.6291, 0.1236, 0.1236)
Zn (0.7500, 0.7500, 0.7500)
As (0.5000, 0.5000, 0.5000)

Results
The space group is No. 216. The magnetization is 0.000 μB per atom. The total DFT energy (no corrections) comes out at -49.8 eV for the cell shown. As for the formation energy: 0.59 eV per atom.

=====

[10]
Computed, not measured: Ba3Ac3NdO8 after structural relaxation at the PBE level of DFT.

a b c (Å): 7.7476 7.7476 7.7476
angles (deg): 58.85 58.85 58.85
Positions (direct):
Ba (0.0000, 0.5000, 0.5000)
Ba (0.5000, 0.0000, 0.5000)
Ba (0.5000, 0.5000, 0.0000)
Ac (0.0000, 0.0000, 0.5000)
Ac (0.0000, 0.5000, 0.0000)
Ac (0.5000, 0.0000, 0.0000)
Nd (0.5000, 0.5000, 0.5000)
O (0.2382, 0.2382, 0.2382)
O (0.2493, 0.7231, 0.7231)
O (0.2769, 0.2769, 0.7507)
O (0.2769, 0.7507, 0.2769)
O (0.7231, 0.2493, 0.7231)
O (0.7231, 0.7231, 0.2493)
O (0.7507, 0.2769, 0.2769)
O (0.7618, 0.7618, 0.7618)

Results
The space group is No. 166. The magnetization is 0.000 μB per atom. The total DFT energy (no corrections) comes out at -104.0 eV for the cell shown. As for the uncorrected formation energy: -267 kJ per mole of atoms.

=====

[11]
Computed, not measured: Tb3Dy3HoSe8 after structural relaxation at the PBE level of DFT.

a b c (Å): 8.1427 8.1427 8.1427
angles (deg): 59.95 59.95 59.95
Positions (direct):
Tb (0.0000, 0.5000, 0.5000)
Tb (0.5000, 0.0000, 0.5000)
Tb (0.5000, 0.5000, 0.0000)
Dy (0.0000, 0.0000, 0.5000)
Dy (0.0000, 0.5000, 0.0000)
Dy (0.5000, 0.0000, 0.0000)
Ho (0.5000, 0.5000, 0.5000)
Se (0.2467, 0.7522, 0.7522)
Se (0.2478, 0.2478, 0.7533)
Se (0.2478, 0.7533, 0.2478)
Se (0.2494, 0.2494, 0.2494)
Se (0.7506, 0.7506, 0.7506)
Se (0.7522, 0.2467, 0.7522)
Se (0.7522, 0.7522, 0.2467)
Se (0.7533, 0.2478, 0.2478)

Results
The space group is No. 166. The magnetization is 0.000 μB per atom. The total DFT energy (no corrections) comes out at -87.7 eV for the cell shown. As for the uncorrected formation energy: -177 kJ per mole of atoms.

=====

[12]
Computed, not measured: LaDyCdPd after structural relaxation at the PBE level of DFT.

a b c (Å): 7.4417 7.4417 7.4417
angles (deg): 90.00 90.00 90.00
Positions (direct):
La (0.0000, 0.0000, 0.0000)
La (0.0000, 0.5000, 0.5000)
La (0.5000, 0.0000, 0.5000)
La (0.5000, 0.5000, 0.0000)
Dy (0.0000, 0.0000, 0.5000)
Dy (0.0000, 0.5000, 0.0000)
Dy (0.5000, 0.0000, 0.0000)
Dy (0.5000, 0.5000, 0.5000)
Cd (0.2500, 0.2500, 0.2500)
Cd (0.2500, 0.7500, 0.7500)
Cd (0.7500, 0.2500, 0.7500)
Cd (0.7500, 0.7500, 0.2500)
Pd (0.2500, 0.2500, 0.7500)
Pd (0.2500, 0.7500, 0.2500)
Pd (0.7500, 0.2500, 0.2500)
Pd (0.7500, 0.7500, 0.7500)

Results
The space group is No. 216. The magnetization is 0.000 μB per atom. The total DFT energy (no corrections) comes out at -70.5 eV for the cell shown. As for the formation energy: -0.49 eV per atom.

=====

[13]
Computed, not measured: HfNbTeI2 after structural relaxation at the PBE level of DFT.

a b c (Å): 5.4196 5.4196 5.8226
angles (deg): 90.00 90.00 90.00
Positions (direct):
Hf (0.0000, 0.0000, 0.0000)
Nb (0.0000, 0.0000, 0.5000)
Te (0.5000, 0.5000, 0.5000)
I (0.0000, 0.5000, 0.0000)
I (0.5000, 0.0000, 0.0000)

Results
The excess energy over the best structure of this formula in the dataset is 0.130 eV per atom. The space group is No. 123. The magnetization is 0.394 μB per atom. The total DFT energy (no corrections) comes out at -22.4 eV for the cell shown. As for the uncorrected formation energy: 75 kJ per mole of atoms.

=====

[14]
Computed, not measured: ScCdC2O after structural relaxation at the PBE level of DFT.

a b c (Å): 3.8895 3.8895 6.0653
angles (deg): 90.00 90.00 90.00
Positions (direct):
Sc (0.0000, 0.0000, 0.0000)
Cd (0.0000, 0.0000, 0.5000)
C (0.0000, 0.5000, 0.5000)
C (0.5000, 0.0000, 0.5000)
O (0.5000, 0.5000, 0.0000)

Results
The excess energy over the best structure of this formula in the dataset is 0.507 eV per atom. The space group is No. 123. The magnetization is 0.200 μB per atom. The total DFT energy (no corrections) comes out at -20.6 eV for the cell shown. As for the uncorrected formation energy: 194 kJ per mole of atoms.

=====

[15]
Computed, not measured: Ta6TeSe2 after structural relaxation at the PBE level of DFT.

a b c (Å): 7.6386 7.6386 10.8557
angles (deg): 91.05 91.05 36.78
Positions (direct):
Ta (0.0808, 0.0808, 0.2825)
Ta (0.0839, 0.0839, 0.5735)
Ta (0.2487, 0.2487, 0.4305)
Ta (0.2527, 0.2527, 0.7186)
Ta (0.4133, 0.4133, 0.2796)
Ta (0.4177, 0.4177, 0.5684)
Ta (0.5823, 0.5823, 0.4316)
Ta (0.5867, 0.5867, 0.7204)
Ta (0.7473, 0.7473, 0.2814)
Ta (0.7513, 0.7513, 0.5695)
Ta (0.9161, 0.9161, 0.4265)
Ta (0.9192, 0.9192, 0.7175)
Te (0.0881, 0.0881, 0.8660)
Te (0.9119, 0.9119, 0.1340)
Se (0.2444, 0.2444, 0.1688)
Se (0.4200, 0.4200, 0.8293)
Se (0.5800, 0.5800, 0.1707)
Se (0.7556, 0.7556, 0.8312)

Results
The space group is No. 12. The magnetization is 0.000 μB per atom. The total DFT energy (no corrections) comes out at -169.3 eV for the cell shown. As for the uncorrected formation energy: -37 kJ per mole of atoms.

=====

[16]
Computed, not measured: Ac3LaPr4 after structural relaxation at the PBE level of DFT.

a b c (Å): 10.8945 7.6108 7.6065
angles (deg): 90.00 90.00 90.00
Positions (direct):
Ac (0.0000, 0.0007, 0.0000)
Ac (0.2503, 0.2546, 0.2502)
Ac (0.2497, 0.7454, 0.7502)
Ac (0.5000, 0.9993, 0.5000)
Ac (0.7497, 0.2546, 0.2502)
Ac (0.7503, 0.7454, 0.7502)
La (0.0000, 0.4996, 0.5002)
La (0.5000, 0.5004, 0.0001)
Pr (0.0000, 0.0003, 0.5000)
Pr (0.0000, 0.5000, 0.0003)
Pr (0.2504, 0.2513, 0.7502)
Pr (0.2496, 0.7487, 0.2502)
Pr (0.5000, 0.9997, 0.0000)
Pr (0.5000, 0.5000, 0.5003)
Pr (0.7496, 0.2513, 0.7502)
Pr (0.7504, 0.7487, 0.2502)

Results
The excess energy over the best structure of this formula in the dataset is 0.000 eV per atom. The space group is No. 31. The magnetization is 0.000 μB per atom. The total DFT energy (no corrections) comes out at -72.4 eV for the cell shown. As for the formation energy: 0.02 eV per atom.

=====

[17]
Computed, not measured: ZnCo2Ni after structural relaxation at the PBE level of DFT.

a b c (Å): 2.5335 2.5335 25.0405
angles (deg): 90.00 90.00 120.00
Positions (direct):
Zn (0.0000, 0.0000, 0.0000)
Zn (0.3333, 0.6667, 0.6667)
Zn (0.6667, 0.3333, 0.3333)
Co (0.0000, 0.0000, 0.2467)
Co (0.0000, 0.0000, 0.7533)
Co (0.3333, 0.6667, 0.4199)
Co (0.3333, 0.6667, 0.9134)
Co (0.6667, 0.3333, 0.0866)
Co (0.6667, 0.3333, 0.5801)
Ni (0.0000, 0.0000, 0.5000)
Ni (0.3333, 0.6667, 0.1667)
Ni (0.6667, 0.3333, 0.8333)

Results
The space group is No. 166. The magnetization is 0.947 μB per atom. The total DFT energy (no corrections) comes out at -63.4 eV for the cell shown. As for the formation energy: 0.03 eV per atom.

=====

[18]
Computed, not measured: NaLa2CdO after structural relaxation at the PBE level of DFT.

a b c (Å): 4.9904 4.9904 4.9952
angles (deg): 90.00 90.00 90.00
Positions (direct):
Na (0.0000, 0.0000, 0.0000)
La (0.0000, 0.5000, 0.5000)
La (0.5000, 0.0000, 0.5000)
Cd (0.5000, 0.5000, 0.0000)
O (0.0000, 0.0000, 0.5000)

Results
The space group is No. 123. The magnetization is 0.000 μB per atom. The total DFT energy (no corrections) comes out at -22.8 eV for the cell shown. As for the uncorrected formation energy: -112 kJ per mole of atoms.

=====

[19]
Computed, not measured: SiSb2Rh after structural relaxation at the PBE level of DFT.

a b c (Å): 3.2223 4.5495 11.5272
angles (deg): 90.00 90.00 90.00
Positions (direct):
Si (0.0000, 0.0000, 0.0000)
Si (0.5000, 0.5000, 0.5000)
Sb (0.0000, 0.0000, 0.3772)
Sb (0.0000, 0.5000, 0.1776)
Sb (0.5000, 0.0000, 0.6776)
Sb (0.5000, 0.5000, 0.8772)
Rh (0.0000, 0.5000, 0.6622)
Rh (0.5000, 0.0000, 0.1622)

Results
The space group is No. 44. The magnetization is 0.000 μB per atom. The total DFT energy (no corrections) comes out at -41.4 eV for the cell shown. As for the uncorrected formation energy: 7 kJ per mole of atoms.

=====

[20]
Computed, not measured: Ce3TcPt after structural relaxation at the PBE level of DFT.

a b c (Å): 4.4028 7.3903 8.1013
angles (deg): 95.31 105.70 107.13
Positions (direct):
Ce (0.0078, 0.2150, 0.2983)
Ce (0.3603, 0.2684, 0.9485)
Ce (0.3630, 0.7983, 0.4316)
Ce (0.6370, 0.2017, 0.5684)
Ce (0.6397, 0.7316, 0.0515)
Ce (0.9922, 0.7850, 0.7017)
Tc (0.3037, 0.9791, 0.1281)
Tc (0.6963, 0.0209, 0.8719)
Pt (0.3247, 0.4852, 0.6637)
Pt (0.6753, 0.5148, 0.3363)

Results
The excess energy over the best structure of this formula in the dataset is 0.043 eV per atom. The space group is No. 2. The magnetization is 0.000 μB per atom. The total DFT energy (no corrections) comes out at -72.3 eV for the cell shown. As for the formation energy: -0.39 eV per atom.